Material: Sr3CaPd
Method: DFT, GGA-PBE
State: optimized geometry

Summary:
**Total energy**: -2.722 eV/atom
**SG**: C2/m

Cell and atoms, written as CIF:
```
data_Sr3CaPd
_cell_length_a 29.261
_cell_length_b 9.518
_cell_length_c 9.518
_cell_angle_alpha 154.15
_cell_angle_beta 154.65
_cell_angle_gamma 25.35
_symmetry_space_group_name_H-M 'P 1'
_symmetry_Int_Tables_number 1
_symmetry_space_group_name_Hall 'P 1'
loop_
_atom_site_label
_atom_site_fract_x
_atom_site_fract_y
_atom_site_fract_z
Sr1 0.559 0.261 0.739
Ca1 0.313 0.248 0.752
Pd1 0.856 0.028 0.972
Pd2 0.144 0.972 0.028
Sr2 0.441 0.739 0.261
Sr3 0.057 0.256 0.744
Sr4 0.943 0.744 0.256
Sr5 0.192 0.744 0.256
Ca2 0.687 0.752 0.248
Sr6 0.808 0.256 0.744
```